A plane-wave DFT calculation with GGA-PBE was carried out for crystalline Tl2SnPd at its relaxed geometry.

Results
The relative energy among the computed polymorphs comes out at 0.089 eV per formula unit. For the density of states at the Fermi level, the calculation gives 0.3446 states/eV/atom. As for the crystal system: cubic.

```
Tl2SnPd
1.0
0.000 3.654 3.654
3.654 0.000 3.654
3.654 3.654 0.000
Tl Sn Pd
2 1 1
direct
0.250 0.250 0.250 Tl
0.750 0.750 0.750 Tl
0.500 0.500 0.500 Sn
0.000 0.000 0.000 Pd
```